Computed, not measured: SrCdGa2Ag4 after structural relaxation at the GGA-PBE level of DFT.

```
SrCdGa2Ag4
1.0
2.272 1.312 9.873
-2.272 1.312 9.873
0.000 -2.624 9.873
Sr Cd Ga Ag
1 1 2 4
direct
0.000 0.000 0.000 Sr
0.500 0.500 0.500 Cd
0.253 0.253 0.253 Ga
0.747 0.747 0.747 Ga
0.123 0.123 0.123 Ag
0.405 0.405 0.405 Ag
0.595 0.595 0.595 Ag
0.877 0.877 0.877 Ag
```

The calculated total energy comes out at -2.622 eV per atom. As for the formation energy: -0.11 eV per atom. As for the total moment: 0.000 μB per formula unit. As for the space group: R-3m (166).


Computed, not measured: KTbGeSe4 after structural relaxation at the GGA-PBE level of DFT.

```
KTbGeSe4
1.0
6.789 0.000 0.000
0.000 7.040 0.000
-2.759 0.000 8.735
K Tb Ge Se
2 2 2 8
direct
0.247 0.250 0.059 K
0.753 0.750 0.941 K
0.227 0.250 0.553 Tb
0.773 0.750 0.447 Tb
0.226 0.750 0.328 Ge
0.774 0.250 0.672 Ge
0.011 0.509 0.711 Se
0.011 0.991 0.711 Se
0.430 0.750 0.162 Se
0.439 0.750 0.585 Se
0.561 0.250 0.415 Se
0.570 0.250 0.838 Se
0.989 0.009 0.289 Se
0.989 0.491 0.289 Se
```

The calculated total energy comes out at -4.585 eV per atom. For the uncorrected formation energy, the calculation gives -1.116 eV/atom. As for the total moment: 0.000 μB per formula unit. As for the space group: P2_1/m (11).


Computed, not measured: Nd3DySb3 after structural relaxation at the GGA-PBE level of DFT.

```
Nd3DySb3
1.0
4.596 2.654 6.309
-4.596 2.654 6.309
0.000 -5.307 6.309
Nd Dy Sb
6 2 6
direct
0.093 0.348 0.821 Nd
0.179 0.907 0.652 Nd
0.348 0.821 0.093 Nd
0.652 0.179 0.907 Nd
0.821 0.093 0.348 Nd
0.907 0.652 0.179 Nd
0.333 0.333 0.333 Dy
0.667 0.667 0.667 Dy
0.073 0.694 0.468 Sb
0.306 0.532 0.927 Sb
0.468 0.073 0.694 Sb
0.532 0.927 0.306 Sb
0.694 0.468 0.073 Sb
0.927 0.306 0.532 Sb
```

The value obtained for the energy above the most stable polymorph in this dataset is 0.68 eV/f.u. The calculated total energy comes out at -5.409 eV per atom. For the uncorrected formation energy, the calculation gives -0.942 eV/atom. As for the total moment: 0.000 μB per formula unit. As for the space group: R-3 (148).


Computed, not measured: Rb2NbTeBr6 after structural relaxation at the GGA-PBE level of DFT.

```
Rb2NbTeBr6
1.0
-4.009 4.009 6.283
4.009 -4.009 6.283
4.009 4.009 -6.283
Rb Nb Te Br
2 1 1 6
direct
0.250 0.750 0.500 Rb
0.750 0.250 0.500 Rb
0.000 0.000 0.000 Nb
0.500 0.500 0.000 Te
0.208 0.208 0.000 Br
0.231 0.231 0.462 Br
0.231 0.769 0.000 Br
0.769 0.231 0.000 Br
0.769 0.769 0.538 Br
0.792 0.792 0.000 Br
```

The calculated total energy comes out at -3.389 eV per atom. For the uncorrected formation energy, the calculation gives -0.870 eV/atom. As for the total moment: 1.009 μB per formula unit. As for the space group: I4/mmm (139).